[1]
A relaxed structure of Mg3In3Hg2. Source: Alexandria via LeMat-Bulk, functional GGA-PBE.

a b c (Å): 4.4820 4.7511 17.7349
angles (deg): 90.00 90.00 90.00
With the nearest neighbours (Å) after each atom.
Space group Immm (No. 71)
Symmetry-distinct sites (fractional):
Mg1 0.0000 0.0000 0.0000 [2 per cell]  8 In 3.13-3.27, 4 Mg 3.35
Mg2 0.0000 0.5000 0.1332 [4 per cell]  4 Hg 3.05-3.16, 6 In 3.26-3.27, 2 Mg 3.35
In1 0.0000 0.0000 0.5000 [2 per cell]  4 In 3.23, 8 Mg 3.26-3.27
In2 0.0000 0.5000 0.3769 [4 per cell]  6 Mg 3.13-3.27, 4 Hg 3.18-3.27, 2 In 3.23
Hg1 0.0000 0.0000 0.2503 [4 per cell]  4 Mg 3.05-3.16, 4 In 3.18-3.27, 4 Hg 3.27

ΔH_f (0 K)	-0.072	eV/atom

[2]
A relaxed structure of CaFe2Os. Source: Alexandria via LeMat-Bulk, functional GGA-PBE.

a b c (Å): 9.3370 2.7989 5.1210
angles (deg): 90.00 105.57 90.00
With the nearest neighbours (Å) after each atom.
Space group Cm (No. 8)
Symmetry-distinct sites (fractional):
Ca1 0.0000 0.0000 0.0000 [2 per cell]  2 Ca 2.80, 7 Fe 2.84-3.00, 3 Os 3.08-3.09
Fe1 0.0085 0.5000 0.4982 [2 per cell]  2 Fe 2.41, 2 Os 2.50
Fe2 0.2181 0.0000 0.7063 [2 per cell]  2 Fe 2.41, 2 Os 2.47
Os1 0.2785 0.5000 0.3532 [2 per cell]  4 Fe 2.47-2.50

ΔH_f (0 K)	0.485	eV/atom

[3]
A relaxed structure of Cu5Hg. Source: Alexandria via LeMat-Bulk, functional GGA-PBE.

a b c (Å): 2.7454 2.7454 12.9289
angles (deg): 90.00 90.00 120.00
With the nearest neighbours (Å) after each atom.
Space group P-6m2 (No. 187)
Symmetry-distinct sites (fractional):
Cu1 0.0000 0.0000 0.0000 [1 per cell]  12 Cu 2.55-2.75
Cu2 0.0000 0.0000 0.3068 [2 per cell]  9 Cu 2.53-2.75
Cu3 0.6667 0.3333 0.1546 [2 per cell]  12 Cu 2.53-2.75
Hg1 0.6667 0.3333 0.5000 [1 per cell]  6 Hg 2.75, 6 Cu 2.96

ΔH_f (0 K)	0.210	eV/atom

[4]
A relaxed structure of Zn3TeMo. Source: Alexandria via LeMat-Bulk, functional GGA-PBE.

a b c (Å): 5.0214 5.0214 5.0214
angles (deg): 90.00 90.00 90.00
With the nearest neighbours (Å) after each atom.
Space group Pm-3m (No. 221)
Symmetry-distinct sites (fractional):
Zn1 0.0000 0.0000 0.5000 [3 per cell]  2 Mo 2.51
Te1 0.5000 0.5000 0.5000 [1 per cell]  12 Zn 3.55
Mo1 0.0000 0.0000 0.0000 [1 per cell]  6 Zn 2.51

[5]
A relaxed structure of YMo2RhS. Source: Alexandria via LeMat-Bulk, functional GGA-PBE.

a b c (Å): 4.3899 4.3899 5.0777
angles (deg): 90.00 90.00 90.00
With the nearest neighbours (Å) after each atom.
Space group P4/mmm (No. 123)
Symmetry-distinct sites (fractional):
Y1 0.0000 0.0000 0.0000 [1 per cell]  2 S 2.54
Mo1 0.0000 0.5000 0.5000 [2 per cell]  2 S 2.19
Rh1 0.5000 0.5000 0.0000 [1 per cell]  4 Y 3.10, 8 Mo 3.36
S1 0.0000 0.0000 0.5000 [1 per cell]  4 Mo 2.19

[6]
A relaxed structure of NaIr. Source: Alexandria via LeMat-Bulk, functional GGA-PBE.

a b c (Å): 5.2907 7.7544 14.5982
angles (deg): 90.00 90.00 90.00
With the nearest neighbours (Å) after each atom.
Space group Fddd (No. 70, origin choice 2)
Symmetry-distinct sites (fractional):
Na1 0.1250 0.2814 0.1250 [16 per cell]  1 Na 2.43
Ir1 0.1250 0.1250 0.5409 [16 per cell]  3 Ir 2.46-2.63

ΔH_f (0 K)	0.449	eV/atom

[7]
A relaxed structure of ThP2Se6. Source: Alexandria via LeMat-Bulk, functional GGA-PBE.

a b c (Å): 6.7794 6.7794 22.4510
angles (deg): 90.00 90.00 120.00
With the nearest neighbours (Å) after each atom.
Space group R3 (No. 146, hexagonal axes)
Symmetry-distinct sites (fractional):
Th1 0.0000 0.0000 0.0000 [3 per cell]  6 Se 2.93-2.98
P1 0.0000 0.0000 0.2708 [3 per cell]  3 Se 2.22, 1 P 2.26
P2 0.0000 0.0000 0.3714 [3 per cell]  3 Se 2.21, 1 P 2.26
Se1 0.0051 0.6110 0.5741 [9 per cell]  1 P 2.22
Se2 0.0507 0.3356 0.3986 [9 per cell]  1 P 2.21

[8]
A relaxed structure of Ba3Sb2Pd. Source: Alexandria via LeMat-Bulk, functional GGA-PBE.

a b c (Å): 13.5967 4.9365 13.3484
angles (deg): 90.00 90.00 90.00
With the nearest neighbours (Å) after each atom.
Space group Pnma (No. 62)
Symmetry-distinct sites (fractional):
Ba1 0.0562 0.2500 0.1243 [4 per cell]  1 Pd 3.34, 4 Sb 3.53-3.64
Ba2 0.1156 0.7500 0.5510 [4 per cell]  3 Pd 3.44-3.50, 5 Sb 3.44-3.63
Ba3 0.2196 0.2500 0.8027 [4 per cell]  2 Pd 3.37, 4 Sb 3.48-3.65
Sb1 0.0244 0.7500 0.3103 [4 per cell]  2 Pd 2.90
Sb2 0.2010 0.7500 0.9883 [4 per cell]  1 Pd 2.90
Pd1 0.1232 0.2500 0.3652 [4 per cell]  3 Sb 2.90

[9]
A relaxed structure of CePr6Tm5. Source: Alexandria via LeMat-Bulk, functional GGA-PBE.

a b c (Å): 5.1502 10.0625 15.3417
angles (deg): 90.00 90.00 90.00
With the nearest neighbours (Å) after each atom.
Space group Immm (No. 71)
Symmetry-distinct sites (fractional):
Ce1 0.0000 0.0000 0.0000 [2 per cell]  8 Pr 3.57-3.60, 4 Tm 3.62
Pr1 0.0000 0.2504 0.1647 [8 per cell]  7 Tm 3.56-3.61, 1 Ce 3.57, 4 Pr 3.61-3.67
Pr2 0.0000 0.2504 0.5000 [4 per cell]  6 Tm 3.58-3.61, 2 Ce 3.60, 4 Pr 3.61
Tm1 0.0000 0.0000 0.3317 [4 per cell]  8 Pr 3.59-3.61, 4 Tm 3.62-3.65
Tm2 0.0000 0.5000 0.0000 [2 per cell]  8 Pr 3.56-3.60, 4 Tm 3.65
Tm3 0.0000 0.5000 0.3339 [4 per cell]  8 Pr 3.58-3.61, 2 Tm 3.62, 2 Ce 3.62

ΔH_f (0 K)	0.040	eV/atom

[10]
A relaxed structure of NaSrAsSe2. Source: Alexandria via LeMat-Bulk, functional GGA-PBE.

a b c (Å): 5.8753 5.8753 5.9341
angles (deg): 90.00 90.00 90.00
With the nearest neighbours (Å) after each atom.
Space group P4/mmm (No. 123)
Symmetry-distinct sites (fractional):
Na1 0.0000 0.0000 0.0000 [1 per cell]  4 As 4.15, 8 Se 4.18
Sr1 0.5000 0.5000 0.5000 [1 per cell]  4 Se 2.94, 2 As 2.97
As1 0.5000 0.5000 0.0000 [1 per cell]  2 Sr 2.97
Se1 0.0000 0.5000 0.5000 [2 per cell]  2 Sr 2.94

[11]
A relaxed structure of Pm8Ge3PtSe4. Source: Alexandria via LeMat-Bulk, functional GGA-PBE.

a b c (Å): 8.4503 8.4503 20.9792
angles (deg): 90.00 90.00 120.00
With the nearest neighbours (Å) after each atom.
Space group R-3m (No. 166, hexagonal axes)
Symmetry-distinct sites (fractional):
Pm1 0.0000 0.0000 0.2477 [6 per cell]  3 Ge 2.97, 3 Se 3.03
Pm2 0.0006 0.5003 0.7536 [18 per cell]  2 Ge 2.96, 1 Pt 2.96, 3 Se 3.04-3.05
Ge1 0.0000 0.5000 0.5000 [9 per cell]  6 Pm 2.96-2.97
Pt1 0.0000 0.0000 0.5000 [3 per cell]  6 Pm 2.96
Se1 0.0000 0.0000 0.0000 [3 per cell]  6 Pm 3.04
Se2 0.0000 0.5000 0.0000 [9 per cell]  6 Pm 3.03-3.05

[12]
A relaxed structure of Re2Ir6Ru. Source: Alexandria via LeMat-Bulk, functional GGA-PBE.

a b c (Å): 11.9336 2.7337 8.2298
angles (deg): 90.00 103.30 90.00
With the nearest neighbours (Å) after each atom.
Space group C2/m (No. 12)
Symmetry-distinct sites (fractional):
Re1 0.1660 0.0000 0.2227 [4 per cell]  8 Ir 2.71-2.76, 2 Re 2.73, 2 Ru 2.74
Ir1 0.0004 0.5000 0.3290 [4 per cell]  1 Ru 2.71, 2 Re 2.71, 9 Ir 2.73-2.82
Ir2 0.1668 0.0000 0.8922 [4 per cell]  7 Ir 2.71-2.78, 3 Re 2.72-2.76, 2 Ru 2.73
Ir3 0.1683 0.0000 0.5545 [4 per cell]  9 Ir 2.70-2.78, 3 Re 2.72-2.73
Ru1 0.0000 0.5000 0.0000 [2 per cell]  6 Ir 2.71-2.73, 2 Ru 2.73, 4 Re 2.74

ΔH_f (0 K)	-0.081	eV/atom

| no. | DFT total energy (eV/atom) |
| --- | --- |
| 1 | -1.7718 |
| 2 | -7.0545 |
| 3 | -3.2540 |
| 4 | -2.5818 |
| 5 | -7.6850 |
| 6 | -4.6410 |
| 7 | -4.9243 |
| 8 | -4.1792 |
| 9 | -4.7069 |
| 10 | -2.9801 |
| 11 | -5.8885 |
| 12 | -9.7855 |